1.
Entry from Alexandria: a relaxed SmHo3Fe8 crystal (PBE).

abc: 8.903 8.903 8.903
angles: 33.58 33.58 33.58
Fractional coordinates of all 12 atoms:
Sm1 0.000 0.000 0.000
Ho1 0.125 0.125 0.125
Ho2 0.500 0.500 0.500
Ho3 0.625 0.625 0.625
Fe1 0.062 0.062 0.560
Fe2 0.062 0.560 0.062
Fe3 0.064 0.563 0.563
Fe4 0.312 0.312 0.312
Fe5 0.560 0.062 0.062
Fe6 0.563 0.064 0.563
Fe7 0.563 0.563 0.064
Fe8 0.813 0.813 0.813

Computed properties:
Its volume is 16.02 Å³ per atom. As for the density of states at the Fermi level: 16.56 states/eV/f.u. The energy comes out at -7.25 eV/atom. The calculation puts the spin magnetization at 14.12 μB per formula unit.


2.
Entry from Alexandria: a relaxed SmHo3Fe crystal (PBE).

abc: 5.259 5.259 5.259
angles: 90.00 90.00 90.00
Fractional coordinates of all 5 atoms:
Sm1 0.000 0.000 0.000
Ho1 0.000 0.500 0.500
Ho2 0.500 0.000 0.500
Ho3 0.500 0.500 0.000
Fe1 0.500 0.500 0.500

Computed properties:
Its volume is 29.10 Å³ per atom. As for the density of states at the Fermi level: 8.30 states/eV/f.u. The energy comes out at -5.28 eV/atom. The calculation puts the spin magnetization at 0.01 μB per formula unit.


3.
Entry from Alexandria: a relaxed SmHo2Fe crystal (PBE).

abc: 10.830 10.830 10.830
angles: 18.39 18.39 18.39
Fractional coordinates of all 4 atoms:
Sm1 0.000 0.000 0.000
Ho1 0.109 0.109 0.109
Ho2 0.891 0.891 0.891
Fe1 0.500 0.500 0.500

Computed properties:
Its volume is 27.62 Å³ per atom. As for the density of states at the Fermi level: 5.10 states/eV/f.u. The energy comes out at -5.27 eV/atom. The value obtained for the offset from the most stable computed form is 0.250 eV/atom. The calculation puts the spin magnetization at 1.00 μB per formula unit.


4.
Entry from Alexandria: a relaxed Sm3HoFe crystal (PBE).

abc: 5.342 5.342 5.342
angles: 90.00 90.00 90.00
Fractional coordinates of all 5 atoms:
Sm1 0.000 0.000 0.500
Sm2 0.000 0.500 0.000
Sm3 0.500 0.000 0.000
Ho1 0.500 0.500 0.500
Fe1 0.000 0.000 0.000

Computed properties:
Its volume is 30.48 Å³ per atom. As for the density of states at the Fermi level: 9.15 states/eV/f.u. The energy comes out at -5.25 eV/atom. The calculation puts the spin magnetization at 0.01 μB per formula unit.


5.
Entry from Alexandria: a relaxed SmHoFe4 crystal (PBE).

abc: 5.172 5.172 5.172
angles: 60.00 60.00 60.00
Fractional coordinates of all 6 atoms:
Sm1 0.000 0.000 0.000
Ho1 0.250 0.250 0.250
Fe1 0.126 0.625 0.625
Fe2 0.625 0.126 0.625
Fe3 0.625 0.625 0.126
Fe4 0.625 0.625 0.625

Computed properties:
Its volume is 16.30 Å³ per atom. As for the density of states at the Fermi level: 8.11 states/eV/f.u. The energy comes out at -7.23 eV/atom. The calculation puts the spin magnetization at 7.46 μB per formula unit.


6.
Entry from Alexandria: a relaxed SmHo2Fe crystal (PBE).

abc: 3.351 3.351 9.048
angles: 90.00 90.00 90.00
Fractional coordinates of all 4 atoms:
Sm1 0.000 0.000 0.000
Ho1 0.500 0.500 0.323
Ho2 0.500 0.500 0.677
Fe1 0.000 0.000 0.500

Computed properties:
Its volume is 25.39 Å³ per atom. As for the density of states at the Fermi level: 2.88 states/eV/f.u. The energy comes out at -5.52 eV/atom. The value obtained for the offset from the most stable computed form is 0.000 eV/atom. The calculation puts the spin magnetization at 0.00 μB per formula unit.


7.
Entry from Alexandria: a relaxed SmHoFe crystal (PBE).

abc: 6.930 6.930 7.343
angles: 90.00 90.00 120.26
Fractional coordinates of all 12 atoms:
Sm1 0.198 0.802 0.887
Sm2 0.302 0.698 0.387
Sm3 0.698 0.302 0.613
Sm4 0.802 0.198 0.113
Ho1 0.208 0.292 0.750
Ho2 0.292 0.208 0.250
Ho3 0.708 0.792 0.750
Ho4 0.792 0.708 0.250
Fe1 0.091 0.909 0.542
Fe2 0.409 0.591 0.042
Fe3 0.591 0.409 0.958
Fe4 0.909 0.091 0.458

Computed properties:
Its volume is 25.38 Å³ per atom. As for the density of states at the Fermi level: 3.55 states/eV/f.u. The energy comes out at -5.86 eV/atom. The value obtained for the offset from the most stable computed form is 0.000 eV/atom. The calculation puts the spin magnetization at 0.79 μB per formula unit.


8.
Entry from Alexandria: a relaxed SmHoFe crystal (PBE).

abc: 6.882 6.882 6.882
angles: 151.75 151.75 40.38
Fractional coordinates of all 3 atoms:
Sm1 0.000 0.000 0.000
Ho1 0.750 0.750 0.000
Fe1 0.371 0.371 0.000

Computed properties:
Its volume is 24.30 Å³ per atom. As for the density of states at the Fermi level: 2.06 states/eV/f.u. The energy comes out at -5.83 eV/atom. The value obtained for the offset from the most stable computed form is 0.031 eV/atom. The calculation puts the spin magnetization at 0.23 μB per formula unit.


9.
Entry from Alexandria: a relaxed SmHoZnFe crystal (PBE).

abc: 4.950 4.950 4.950
angles: 60.00 60.00 60.00
Fractional coordinates of all 4 atoms:
Sm1 0.000 0.000 0.000
Ho1 0.500 0.500 0.500
Zn1 0.250 0.250 0.250
Fe1 0.750 0.750 0.750

Computed properties:
Its volume is 21.44 Å³ per atom. As for the density of states at the Fermi level: 4.44 states/eV/f.u. The energy comes out at -4.81 eV/atom. The calculation puts the spin magnetization at 1.27 μB per formula unit.


10.
Entry from Alexandria: a relaxed HoFe4Sn8 crystal (PBE).

abc: 7.444 7.444 7.444
angles: 98.26 98.26 135.46
Fractional coordinates of all 13 atoms:
Ho1 0.000 0.000 0.000
Fe1 0.000 0.000 0.500
Fe2 0.000 0.500 0.000
Fe3 0.500 0.000 0.000
Fe4 0.500 0.500 0.500
Sn1 0.000 0.334 0.334
Sn2 0.000 0.666 0.666
Sn3 0.286 0.500 0.786
Sn4 0.334 0.000 0.334
Sn5 0.500 0.286 0.786
Sn6 0.500 0.714 0.214
Sn7 0.666 0.000 0.666
Sn8 0.714 0.500 0.214

Computed properties:
Its volume is 20.59 Å³ per atom. As for the density of states at the Fermi level: 9.28 states/eV/f.u. The energy comes out at -5.30 eV/atom. The calculation puts the spin magnetization at 8.83 μB per formula unit.


11.
Entry from Alexandria: a relaxed HoFeSn crystal (PBE).

abc: 10.896 10.896 10.896
angles: 20.40 20.40 20.40
Fractional coordinates of all 6 atoms:
Ho1 0.059 0.059 0.059
Ho2 0.941 0.941 0.941
Fe1 0.335 0.335 0.335
Fe2 0.665 0.665 0.665
Sn1 0.197 0.197 0.197
Sn2 0.803 0.803 0.803

Computed properties:
Its volume is 22.93 Å³ per atom. As for the density of states at the Fermi level: 2.87 states/eV/f.u. The energy comes out at -5.87 eV/atom. The calculation puts the spin magnetization at 0.88 μB per formula unit.


12.
Entry from Alexandria: a relaxed Ho2FeSn crystal (PBE).

abc: 10.153 10.153 10.153
angles: 19.81 19.81 19.81
Fractional coordinates of all 4 atoms:
Ho1 0.106 0.106 0.106
Ho2 0.894 0.894 0.894
Fe1 0.500 0.500 0.500
Sn1 0.000 0.000 0.000

Computed properties:
Its volume is 26.28 Å³ per atom. As for the density of states at the Fermi level: 3.23 states/eV/f.u. The energy comes out at -5.21 eV/atom. The calculation puts the spin magnetization at 0.99 μB per formula unit.


13.
Entry from Alexandria: a relaxed Ho12FeSn6 crystal (PBE).

abc: 8.520 8.520 8.520
angles: 99.35 99.35 99.35
Fractional coordinates of all 19 atoms:
Ho1 0.011 0.947 0.693
Ho2 0.053 0.307 0.989
Ho3 0.197 0.556 0.424
Ho4 0.307 0.989 0.053
Ho5 0.424 0.197 0.556
Ho6 0.444 0.576 0.803
Ho7 0.556 0.424 0.197
Ho8 0.576 0.803 0.444
Ho9 0.693 0.011 0.947
Ho10 0.803 0.444 0.576
Ho11 0.947 0.693 0.011
Ho12 0.989 0.053 0.307
Fe1 0.000 0.000 0.000
Sn1 0.121 0.312 0.643
Sn2 0.312 0.643 0.121
Sn3 0.357 0.879 0.688
Sn4 0.643 0.121 0.312
Sn5 0.688 0.357 0.879
Sn6 0.879 0.688 0.357

Computed properties:
Its volume is 31.09 Å³ per atom. As for the density of states at the Fermi level: 17.58 states/eV/f.u. The energy comes out at -4.94 eV/atom. The calculation puts the spin magnetization at 0.00 μB per formula unit.


14.
Entry from Alexandria: a relaxed Ho8FeSn2 crystal (PBE).

abc: 9.188 9.188 6.750
angles: 109.37 109.37 33.53
Fractional coordinates of all 11 atoms:
Ho1 0.009 0.009 0.240
Ho2 0.205 0.205 0.130
Ho3 0.362 0.362 0.663
Ho4 0.407 0.407 0.227
Ho5 0.593 0.593 0.773
Ho6 0.638 0.638 0.337
Ho7 0.795 0.795 0.870
Ho8 0.991 0.991 0.760
Fe1 0.500 0.500 0.000
Sn1 0.173 0.173 0.638
Sn2 0.827 0.827 0.362

Computed properties:
Its volume is 26.84 Å³ per atom. As for the density of states at the Fermi level: 12.02 states/eV/f.u. The energy comes out at -5.09 eV/atom. The calculation puts the spin magnetization at 0.00 μB per formula unit.


15.
Entry from Alexandria: a relaxed SrHo2Fe crystal (PBE).

abc: 10.821 10.821 10.821
angles: 20.09 20.09 20.09
Fractional coordinates of all 4 atoms:
Sr1 0.000 0.000 0.000
Ho1 0.118 0.118 0.118
Ho2 0.882 0.882 0.882
Fe1 0.500 0.500 0.500

Computed properties:
Its volume is 32.70 Å³ per atom. As for the density of states at the Fermi level: 4.05 states/eV/f.u. The energy comes out at -4.51 eV/atom. The calculation puts the spin magnetization at 0.60 μB per formula unit.


16.
Entry from Alexandria: a relaxed HoTaFe crystal (PBE).

abc: 9.105 9.105 6.949
angles: 92.90 92.90 26.56
Fractional coordinates of all 12 atoms:
Ho1 0.067 0.067 0.324
Ho2 0.409 0.409 0.139
Ho3 0.591 0.591 0.861
Ho4 0.933 0.933 0.676
Ta1 0.211 0.211 0.631
Ta2 0.224 0.224 0.112
Ta3 0.776 0.776 0.888
Ta4 0.789 0.789 0.369
Fe1 0.338 0.338 0.798
Fe2 0.345 0.345 0.484
Fe3 0.655 0.655 0.516
Fe4 0.662 0.662 0.202

Computed properties:
Its volume is 21.44 Å³ per atom. As for the density of states at the Fermi level: 3.73 states/eV/f.u. The energy comes out at -8.14 eV/atom. The calculation puts the spin magnetization at 0.00 μB per formula unit.


17.
Entry from Alexandria: a relaxed HoTaFe2 crystal (PBE).

abc: 3.113 3.113 6.596
angles: 90.00 90.00 90.00
Fractional coordinates of all 4 atoms:
Ho1 0.000 0.000 0.000
Ta1 0.000 0.000 0.500
Fe1 0.500 0.500 0.286
Fe2 0.500 0.500 0.714

Computed properties:
Its volume is 15.98 Å³ per atom. As for the density of states at the Fermi level: 1.37 states/eV/f.u. The energy comes out at -8.38 eV/atom. The calculation puts the spin magnetization at 0.37 μB per formula unit.


18.
Entry from Alexandria: a relaxed TbHo3Fe crystal (PBE).

abc: 5.243 5.243 5.243
angles: 90.00 90.00 90.00
Fractional coordinates of all 5 atoms:
Tb1 0.000 0.000 0.000
Ho1 0.000 0.500 0.500
Ho2 0.500 0.000 0.500
Ho3 0.500 0.500 0.000
Fe1 0.500 0.500 0.500

Computed properties:
Its volume is 28.82 Å³ per atom. As for the density of states at the Fermi level: 8.14 states/eV/f.u. The energy comes out at -5.26 eV/atom. The calculation puts the spin magnetization at 0.00 μB per formula unit.


19.
Entry from Alexandria: a relaxed TbHoFe10 crystal (PBE).

abc: 3.947 4.998 8.622
angles: 90.00 90.00 90.00
Fractional coordinates of all 12 atoms:
Tb1 0.000 0.000 0.000
Ho1 0.000 0.500 0.500
Fe1 0.000 0.000 0.335
Fe2 0.000 0.000 0.665
Fe3 0.000 0.500 0.167
Fe4 0.000 0.500 0.833
Fe5 0.500 0.000 0.500
Fe6 0.500 0.251 0.251
Fe7 0.500 0.251 0.749
Fe8 0.500 0.500 0.000
Fe9 0.500 0.749 0.251
Fe10 0.500 0.749 0.749

Computed properties:
Its volume is 14.17 Å³ per atom. As for the density of states at the Fermi level: 10.77 states/eV/f.u. The energy comes out at -7.87 eV/atom. The calculation puts the spin magnetization at 19.32 μB per formula unit.


20.
Entry from Alexandria: a relaxed TbHo2Fe9 crystal (PBE).

abc: 8.576 8.576 8.576
angles: 34.48 34.48 34.48
Fractional coordinates of all 12 atoms:
Tb1 0.000 0.000 0.000
Ho1 0.142 0.142 0.142
Ho2 0.858 0.858 0.858
Fe1 0.082 0.582 0.582
Fe2 0.333 0.333 0.333
Fe3 0.418 0.418 0.918
Fe4 0.418 0.918 0.418
Fe5 0.500 0.500 0.500
Fe6 0.582 0.082 0.582
Fe7 0.582 0.582 0.082
Fe8 0.667 0.667 0.667
Fe9 0.918 0.418 0.418

Computed properties:
Its volume is 15.02 Å³ per atom. As for the density of states at the Fermi level: 14.28 states/eV/f.u. The energy comes out at -7.57 eV/atom. The calculation puts the spin magnetization at 16.69 μB per formula unit.